SiAsCl: PBEsol geometry, meta-GGA SCAN.

Structure (CIF):
```
data_SiAsCl
_cell_length_a 2.905
_cell_length_b 4.542
_cell_length_c 4.542
_cell_angle_alpha 120.00
_cell_angle_beta 90.00
_cell_angle_gamma 90.00
_space_group_name_H-M_alt 'P 1'
_space_group_IT_number 1
_space_group_name_Hall 'P 1'
loop_
_atom_site_label
_atom_site_type_symbol
_atom_site_fract_x
_atom_site_fract_y
_atom_site_fract_z
Si1 Si 0.165 0.333 0.667
As1 As 0.167 0.000 0.000
Cl1 Cl 0.667 0.667 0.333
```

Results
raw formation energy = 0.39 eV per atom
magnetization = 0.0 μB per formula unit
SG = P3m1
calculated density = 4.4 Mg/m³



Li2WI: PBEsol geometry, meta-GGA SCAN.

Structure (CIF):
```
data_Li2WI
_cell_length_a 5.235
_cell_length_b 5.889
_cell_length_c 5.889
_cell_angle_alpha 78.61
_cell_angle_beta 63.61
_cell_angle_gamma 63.61
_space_group_name_H-M_alt 'P 1'
_space_group_IT_number 1
_space_group_name_Hall 'P 1'
loop_
_atom_site_label
_atom_site_type_symbol
_atom_site_fract_x
_atom_site_fract_y
_atom_site_fract_z
Li1 Li 0.139 0.486 0.986
Li2 Li 0.375 0.014 0.486
I1 I 0.250 0.500 0.500
Li3 Li 0.611 0.514 0.014
I2 I 0.500 0.000 0.000
W1 W 0.750 0.500 0.500
W2 W 0.000 0.000 0.000
Li4 Li 0.875 0.986 0.514
```

Results
raw formation energy = 1.07 eV per atom
magnetization = 0.0 μB per formula unit
SG = I-42d
calculated density = 7.4 Mg/m³



Sr2LaPt: PBEsol geometry, meta-GGA SCAN.

Structure (CIF):
```
data_Sr2LaPt
_cell_length_a 4.017
_cell_length_b 4.017
_cell_length_c 10.691
_cell_angle_alpha 79.17
_cell_angle_beta 79.17
_cell_angle_gamma 60.00
_space_group_name_H-M_alt 'P 1'
_space_group_IT_number 1
_space_group_name_Hall 'P 1'
loop_
_atom_site_label
_atom_site_type_symbol
_atom_site_fract_x
_atom_site_fract_y
_atom_site_fract_z
La1 La 0.500 0.500 0.500
Sr1 Sr 0.724 0.724 0.829
Pt1 Pt 0.000 0.000 0.000
Sr2 Sr 0.276 0.276 0.171
```

Results
energy of formation = -1.45 eV/f.u.
magnetization = 0.9 μB per formula unit
SG = R-3m
calculated density = 5.8 Mg/m³